First-principles (GGA-PBEsol) data for Gd2TiO5 after structural relaxation, as listed in Alexandria.

Its density is 6.50 g/cm³. The total magnetic moment is 1.7498 μB/atom. Its excess energy over the best structure of this formula in the dataset is 0.005 eV per atom. The energy relative to the elements, uncorrected is -3.373 eV/atom.

The structure belongs to space group P2_1/c (No. 14); the cell edges are 9.411, 7.037 and 6.874 Å and the angles 90.00°, 96.99° and 90.00°. The asymmetric unit holds Gd at (0.031, 0.119, 0.228), Gd at (0.349, 0.146, 0.967), Ti at (0.300, 0.603, 0.969), O at (0.103, 0.120, 0.913), O at (0.106, 0.643, 0.962), O at (0.280, 0.073, 0.268), O at (0.362, 0.070, 0.649) and O at (0.404, 0.678, 0.479).